# Pr2TmPuO8 | Alexandria via LeMat-Bulk | PBE | optimized geometry
# Density, g/cm³: 8.10
# Formation energy without anion corrections, eV per atom: -2.98
data_Pr2TmPuO8
_cell_length_a 4.0301
_cell_length_b 5.5813
_cell_length_c 7.5476
_cell_angle_alpha 88.14
_cell_angle_beta 89.56
_cell_angle_gamma 83.61
_symmetry_space_group_name_H-M 'P -1'
_symmetry_Int_Tables_number 2
_symmetry_space_group_name_Hall '-P 1'
loop_
_atom_site_label
_atom_site_type_symbol
_atom_site_fract_x
_atom_site_fract_y
_atom_site_fract_z
_atom_site_occupancy
Pr1 Pr 0.0010 0.0132 0.2406 1
Tm1 Tm 0.5000 0.5000 0.0000 1
Pu1 Pu 0.5000 0.5000 0.5000 1
O1 O 0.0255 0.7415 0.0123 1
O2 O 0.0772 0.7128 0.5035 1
O3 O 0.4449 0.2822 0.7144 1
O4 O 0.4567 0.2649 0.2663 1


# PrTm2PuO8 | Alexandria via LeMat-Bulk | PBE | optimized geometry
# Density, g/cm³: 7.73
# Formation energy without anion corrections, eV per atom: -3.06
data_PrTm2PuO8
_cell_length_a 5.0882
_cell_length_b 7.0584
_cell_length_c 5.0902
_cell_angle_alpha 90.00
_cell_angle_beta 90.24
_cell_angle_gamma 90.00
_symmetry_space_group_name_H-M 'P 1 2/m 1'
_symmetry_Int_Tables_number 10
_symmetry_space_group_name_Hall '-P 2y'
loop_
_atom_site_label
_atom_site_type_symbol
_atom_site_fract_x
_atom_site_fract_y
_atom_site_fract_z
_atom_site_occupancy
Pr1 Pr 0.0000 0.0000 0.0000 1
Tm1 Tm 0.5000 0.2414 0.5000 1
Pu1 Pu 0.0000 0.5000 0.0000 1
O1 O 0.1891 0.2864 0.1903 1
O2 O 0.2799 0.5000 0.7212 1
O3 O 0.3202 0.0000 0.6817 1


Please write out number 1 again, unchanged.
# Pr2TmPuO8 | Alexandria via LeMat-Bulk | PBE | optimized geometry
# Density, g/cm³: 8.10
# Formation energy without anion corrections, eV per atom: -2.98
data_Pr2TmPuO8
_cell_length_a 4.0301
_cell_length_b 5.5813
_cell_length_c 7.5476
_cell_angle_alpha 88.14
_cell_angle_beta 89.56
_cell_angle_gamma 83.61
_symmetry_space_group_name_H-M 'P -1'
_symmetry_Int_Tables_number 2
_symmetry_space_group_name_Hall '-P 1'
loop_
_atom_site_label
_atom_site_type_symbol
_atom_site_fract_x
_atom_site_fract_y
_atom_site_fract_z
_atom_site_occupancy
Pr1 Pr 0.0010 0.0132 0.2406 1
Tm1 Tm 0.5000 0.5000 0.0000 1
Pu1 Pu 0.5000 0.5000 0.5000 1
O1 O 0.0255 0.7415 0.0123 1
O2 O 0.0772 0.7128 0.5035 1
O3 O 0.4449 0.2822 0.7144 1
O4 O 0.4567 0.2649 0.2663 1


> Among the records above, which one has the highest formation energy without anion corrections?

Pr2TmPuO8


> Look up the density of the first one.

8.10 g/cm³


> What is the density in the second record?

7.73 g/cm³